The following is a DFT calculation (PBE-GGA) of a geometry-optimized Ag2GeSeCl structure.

Summary:
energy relative to the elements, uncorrected: 0.429 eV/atom
total energy: -13.51 eV per formula unit
total moment: 0.000 μB per atom

a = 5.1174 Å, b = 5.1174 Å, c = 4.7042 Å
α = 90.00°, β = 90.00°, γ = 90.00°
With the nearest neighbours (Å) after each atom.
Element x y z (fractional)
Ag (0.0000, 0.5000, 0.0000)  2 Ge 2.56
Ag (0.5000, 0.0000, 0.0000)  2 Ge 2.56
Ge (0.0000, 0.0000, 0.0000)  2 Cl 2.35, 4 Ag 2.56
Se (0.5000, 0.5000, 0.5000)  8 Ag 3.48, 4 Cl 3.62
Cl (0.0000, 0.0000, 0.5000)  2 Ge 2.35